# 1
First-principles (GGA-PBE) data for a relaxed RbNaCd17 crystal, as listed in the Alexandria database.

Unit cell a=7.859 b=7.859 c=7.859 alpha=82.63 beta=82.63 gamma=82.63
Positions (direct):
Cd: 0.510 0.990 0.990
Cd: 0.700 0.004 0.296
Cd: 0.106 0.106 0.106
Cd: 0.700 0.296 0.004
Cd: 0.861 0.348 0.348
Cd: 0.906 0.906 0.906
Cd: 0.990 0.990 0.510
Cd: 0.348 0.348 0.861
Cd: 0.168 0.639 0.639
Cd: 0.004 0.700 0.296
Cd: 0.348 0.861 0.348
Cd: 0.990 0.510 0.990
Cd: 0.296 0.700 0.004
Cd: 0.004 0.296 0.700
Cd: 0.639 0.168 0.639
Cd: 0.639 0.639 0.168
Cd: 0.296 0.004 0.700
Rb: 0.659 0.659 0.659
Na: 0.337 0.337 0.337

Summary:
- Energy of formation: -0.04 eV per atom
- Uncorrected energy: -0.975 eV per atom
- Magnetic moment: 0.0 μB/cell



# 2
First-principles (GGA-PBE) data for a relaxed RbNa9Cd2 crystal, as listed in the Alexandria database.

Unit cell a=8.966 b=10.889 c=10.889 alpha=80.24 beta=65.69 gamma=65.69
Positions (direct):
Na: 0.689 0.179 0.575
Na: 0.015 0.679 0.925
Na: 0.306 0.075 0.679
Na: 0.444 0.425 0.821
Na: 0.132 0.179 0.425
Na: 0.015 0.925 0.679
Na: 0.735 0.821 0.575
Na: 0.000 0.000 0.000
Na: 0.618 0.075 0.321
Na: 0.618 0.321 0.075
Na: 0.689 0.575 0.179
Na: 0.061 0.321 0.925
Na: 0.735 0.575 0.821
Na: 0.306 0.679 0.075
Na: 0.132 0.425 0.179
Na: 0.061 0.925 0.321
Na: 0.750 0.500 0.500
Na: 0.444 0.821 0.425
Cd: 0.875 0.750 0.250
Cd: 0.875 0.250 0.250
Cd: 0.875 0.250 0.750
Cd: 0.375 0.750 0.750
Rb: 0.250 0.500 0.500
Rb: 0.500 0.000 0.000

Summary:
- Energy of formation: -0.02 eV per atom
- Uncorrected energy: -1.239 eV per atom
- Magnetic moment: 0.0 μB/cell